Entry 1:
VASP calculation (PBE) on crystalline Gd3Cd at its relaxed geometry.

Values from the calculation:
* magnetic moment: 22.9 μB/f.u.
* relative energy among the computed polymorphs: 0.004 eV/atom

Cell: 6.9440 6.9440 5.5963 Å, 90.00 90.00 120.00°
With the nearest neighbours (Å) after each atom.
Fractional coordinates of all 8 atoms:
Gd 0.1714 0.3429 0.2500  8 Gd 3.37-3.57, 4 Cd 3.41-3.47
Gd 0.1714 0.8286 0.2500  8 Gd 3.37-3.57, 4 Cd 3.41-3.47
Gd 0.3429 0.1714 0.7500  8 Gd 3.37-3.57, 4 Cd 3.41-3.47
Gd 0.6571 0.8286 0.2500  8 Gd 3.37-3.57, 4 Cd 3.41-3.47
Gd 0.8286 0.1714 0.7500  8 Gd 3.37-3.57, 4 Cd 3.41-3.47
Gd 0.8286 0.6571 0.7500  8 Gd 3.37-3.57, 4 Cd 3.41-3.47
Cd 0.3333 0.6667 0.7500  12 Gd 3.41-3.47
Cd 0.6667 0.3333 0.2500  12 Gd 3.41-3.47



Entry 2:
VASP calculation (PBE) on crystalline NbCdWCl2 at its relaxed geometry.

Values from the calculation:
* magnetic moment: 6.0 μB/f.u.
* raw formation energy: 8.547 eV per formula unit

Cell: 4.6870 4.6870 6.8928 Å, 90.00 90.00 90.00°
With the nearest neighbours (Å) after each atom.
Fractional coordinates of all 5 atoms:
Nb 0.0000 0.0000 0.0000  4 W 3.31, 2 Cd 3.45
Cd 0.0000 0.0000 0.5000  4 Cl 2.34
W 0.5000 0.5000 0.0000  4 Nb 3.31
Cl 0.0000 0.5000 0.5000  2 Cd 2.34
Cl 0.5000 0.0000 0.5000  2 Cd 2.34



Entry 3:
VASP calculation (PBE) on crystalline Tm2Ga2Ru4C at its relaxed geometry.

Values from the calculation:
* magnetic moment: 0.0 μB/f.u.

Cell: 5.8280 5.8280 5.8280 Å, 118.58 118.58 92.48°
With the nearest neighbours (Å) after each atom.
Fractional coordinates of all 9 atoms:
Tm 0.2129 0.2129 0.0000  1 C 2.31
Tm 0.7871 0.7871 0.0000  1 C 2.31
Ga 0.2500 0.7500 0.5000  8 Ru 2.92, 4 Tm 2.99
Ga 0.7500 0.2500 0.5000  8 Ru 2.92, 4 Tm 2.99
Ru 0.2618 0.2618 0.5235  1 C 2.01
Ru 0.2618 0.7382 0.0000  1 C 2.01
Ru 0.7382 0.2618 0.0000  1 C 2.01
Ru 0.7382 0.7382 0.4765  1 C 2.01
C 0.5000 0.5000 0.0000  4 Ru 2.01



What did we get for total energy? Answer: -87.35 -19.08 -63.28 eV for the cell shown, in the order shown.